In4AgAu | GGA-PBE | optimized geometry

## Properties
- N(E_F): 0.197 states/eV per atom
- Energy above the lowest structure with this stoichiometry: 0 meV/atom
- Uncorrected energy: -2.977 eV/atom
- ΔH_f (0 K): -0.13 eV/atom

Cell: 4.7348 4.7351 6.6814 Å, 90.00 90.00 89.99°
Element x y z (fractional)
1 In 0.5013 0.9972 0.2470
2 In 0.5014 0.9974 0.7493
3 In 0.0013 0.4974 0.7493
4 In 0.0012 0.4972 0.2470
5 Ag 0.0013 0.9973 0.4981
6 Au 0.5013 0.4973 0.9981

***

PaSeF3 | GGA-PBE | optimized geometry

## Properties
- Uncorrected formation energy: -2.864 eV/atom
- N(E_F): 0.000 states/eV per atom
- Energy above the lowest structure with this stoichiometry: 96 meV/atom
- Uncorrected energy: -6.583 eV/atom

Cell: 6.2480 6.2480 6.2480 Å, 89.65 89.65 89.65°
Element x y z (fractional)
1 Pa 0.7500 0.7500 0.7500
2 Pa 0.2500 0.2500 0.2500
3 Se 0.0000 0.0000 0.0000
4 Se 0.5000 0.5000 0.5000
5 F 0.5155 0.9845 0.7500
6 F 0.7500 0.5155 0.9845
7 F 0.9845 0.7500 0.5155
8 F 0.0155 0.2500 0.4845
9 F 0.2500 0.4845 0.0155
10 F 0.4845 0.0155 0.2500

***

Ce2CuOs | GGA-PBE | optimized geometry

## Properties
- N(E_F): 1.850 states/eV per atom
- Energy above the lowest structure with this stoichiometry: 0 meV/atom
- Uncorrected energy: -6.970 eV/atom
- ΔH_f (0 K): -0.17 eV/atom

Cell: 4.2600 5.8001 7.5080 Å, 108.73 90.00 90.00°
Each line ends with the local moment (μB).
Element x y z (fractional)
1 Ce 0.7500 0.2229 0.4408  0.14
2 Ce 0.2500 0.7771 0.5592  0.14
3 Ce 0.2500 0.7732 0.0739  0.21
4 Ce 0.7500 0.2268 0.9261  0.21
5 Cu 0.2500 0.3427 0.2102  0.00
6 Cu 0.7500 0.6573 0.7898  0.00
7 Os 0.7500 0.6806 0.2879  -0.03
8 Os 0.2500 0.3194 0.7121  -0.03

***

Ac2Cl2F5 | GGA-PBE | optimized geometry

## Properties
- Uncorrected formation energy: -3.355 eV/atom
- Uncorrected energy: -5.718 eV/atom

Cell: 4.5620 4.6483 8.8739 Å, 74.82 90.09 90.00°
Each line ends with the local moment (μB).
Element x y z (fractional)
1 Ac 0.9975 0.8565 0.2871  0.00
2 Ac 0.0025 0.1435 0.7129  0.00
3 Cl 0.5002 0.5742 0.8516  0.38
4 Cl 0.4998 0.4258 0.1484  0.38
5 F 0.0001 0.7012 0.5977  0.01
6 F 0.9999 0.2988 0.4023  0.01
7 F 0.4977 0.8133 0.3734  0.01
8 F 0.5023 0.1867 0.6266  0.01
9 F 0.0000 0.0000 0.0000  0.00

***

KSr3Cr | GGA-PBE | optimized geometry

## Properties
- N(E_F): 1.225 states/eV per atom
- Energy above the lowest structure with this stoichiometry: 0 meV/atom
- Uncorrected energy: -2.384 eV/atom
- ΔH_f (0 K): 0.77 eV/atom

Cell: 6.0679 6.0679 6.0679 Å, 90.00 90.00 90.00°
Element x y z (fractional)
1 Sr 0.0000 0.5000 0.0000
2 Sr 0.0000 0.0000 0.5000
3 Sr 0.5000 0.0000 0.0000
4 K 0.5000 0.5000 0.5000
5 Cr 0.0000 0.0000 0.0000

***

LaCeSn2 | GGA-PBE | optimized geometry

## Properties
- N(E_F): 2.021 states/eV per atom
- Uncorrected energy: -5.372 eV/atom
- ΔH_f (0 K): -0.66 eV/atom

Cell: 4.5309 5.0519 5.0519 Å, 90.00 90.00 90.00°
Each line ends with the local moment (μB).
Element x y z (fractional)
1 Sn 0.0000 0.0000 0.5000  -0.02
2 Sn 0.0000 0.5000 0.0000  -0.02
3 Ce 0.5000 0.5000 0.5000  0.75
4 La 0.5000 0.0000 0.0000  0.09